Record 1
Zr2ZnNi after structural relaxation. Source: the Alexandria database, functional PBE.

Cell: 3.2873 3.2873 6.5303 Å, 90.00 90.00 90.00°
Space group P4/mmm (No. 123)
One atom of each set of equivalent atoms:
1 Zr 0.0000 0.0000 0.2393
2 Zn 0.5000 0.5000 0.5000
3 Ni 0.5000 0.5000 0.0000

Properties
The value obtained for the total energy is -6.33 eV/atom. As for the formation enthalpy at 0 K: -0.289 eV/atom. The crystal system is tetragonal.

=====

Record 2
ZrZnNi2 after structural relaxation. Source: the Alexandria database, functional PBE.

Cell: 6.7866 6.7866 5.4204 Å, 90.00 90.00 90.00°
Space group I-42d (No. 122)
One atom of each set of equivalent atoms:
1 Zr 0.0000 0.0000 0.0000
2 Zn 0.0000 0.0000 0.5000
3 Ni 0.2292 0.2500 0.6250

Properties
The value obtained for the total energy is -5.28 eV/atom. As for the formation enthalpy at 0 K: 0.070 eV/atom. The crystal system is tetragonal.

=====

Record 3
ZrZnNi5 after structural relaxation. Source: the Alexandria database, functional PBE.

Cell: 7.7643 4.7010 9.8668 Å, 90.00 90.00 90.00°
Space group Pnma (No. 62)
One atom of each set of equivalent atoms:
1 Zr 0.2471 0.2500 0.0616
2 Zn 0.1412 0.7500 0.8573
3 Ni 0.0475 0.7500 0.0903
4 Ni 0.0670 0.0054 0.3056
5 Ni 0.0919 0.2500 0.5168
6 Ni 0.1881 0.2500 0.7469

Properties
The value obtained for the total energy is -5.84 eV/atom. As for the formation enthalpy at 0 K: -0.302 eV/atom. The crystal system is orthorhombic.

=====

For reference, M_tot by record: 0.000; 0.000; 0.000 μB/atom.